Here is an optimized crystal structure of AgPBr from Alexandria. Energies are from GGA-PBE.

Cell lengths 4.6536, 4.6536, 4.6536 Å; angles 60.00, 60.00, 60.00 degrees
With the nearest neighbours (Å) after each atom.
Sites, in units of the cell vectors:
Ag: 0.0000 0.0000 0.0000  4 P 2.85
P: 0.2500 0.2500 0.2500  4 Br 2.85, 4 Ag 2.85
Br: 0.5000 0.5000 0.5000  4 P 2.85

## Properties
* energy relative to the elements, uncorrected: 0.80 eV per atom
* final energy: -2.5105 eV per atom

---

Here is an optimized crystal structure of Sc2Ni2As from Alexandria. Energies are from GGA-PBE.

Cell lengths 7.3112, 7.3112, 3.2351 Å; angles 90.00, 90.00, 90.00 degrees
With the nearest neighbours (Å) after each atom.
Sites, in units of the cell vectors:
Sc: 0.1659 0.3341 0.0000  6 Ni 2.67-2.73, 2 As 2.73
Sc: 0.3341 0.8341 0.0000  6 Ni 2.67-2.73, 2 As 2.73
Sc: 0.6659 0.1659 0.0000  6 Ni 2.67-2.73, 2 As 2.73
Sc: 0.8341 0.6659 0.0000  6 Ni 2.67-2.73, 2 As 2.73
Ni: 0.1212 0.6212 0.5000  1 Ni 2.51, 6 Sc 2.67-2.73
Ni: 0.3788 0.1212 0.5000  1 Ni 2.51, 6 Sc 2.67-2.73
Ni: 0.6212 0.8788 0.5000  1 Ni 2.51, 6 Sc 2.67-2.73
Ni: 0.8788 0.3788 0.5000  1 Ni 2.51, 6 Sc 2.67-2.73
As: 0.0000 0.0000 0.0000  4 Sc 2.73
As: 0.5000 0.5000 0.0000  4 Sc 2.73

## Properties
* final energy: -6.1181 eV per atom

---

Here is an optimized crystal structure of TbPr3Dy6 from Alexandria. Energies are from GGA-PBE.

Cell lengths 6.6774, 6.6774, 9.7829 Å; angles 111.80, 111.80, 59.29 degrees
With the nearest neighbours (Å) after each atom.
Sites, in units of the cell vectors:
Tb: 0.0000 0.0000 0.0000  10 Dy 3.71-3.74, 4 Pr 3.75
Pr: 0.4291 0.4291 0.8000  4 Dy 3.31-3.37, 2 Pr 3.37-3.54
Pr: 0.5000 0.5000 0.5000  4 Dy 3.35, 2 Pr 3.37
Pr: 0.5709 0.5709 0.2000  4 Dy 3.31-3.37, 2 Pr 3.37-3.54
Dy: 0.0595 0.5691 0.1867  3 Dy 3.24-3.37, 3 Pr 3.31-3.37
Dy: 0.1355 0.1355 0.4204  1 Tb 3.72, 9 Dy 3.80-4.11, 6 Pr 3.82-3.96
Dy: 0.4309 0.9405 0.8133  3 Dy 3.24-3.37, 3 Pr 3.31-3.37
Dy: 0.5691 0.0595 0.1867  3 Dy 3.24-3.37, 3 Pr 3.31-3.37
Dy: 0.8645 0.8645 0.5796  1 Tb 3.72, 9 Dy 3.80-4.11, 6 Pr 3.82-3.96
Dy: 0.9405 0.4309 0.8133  3 Dy 3.24-3.37, 3 Pr 3.31-3.37

## Properties
* final energy: -4.4311 eV per atom

---

Here is an optimized crystal structure of Ba2Pd2I from Alexandria. Energies are from GGA-PBE.

Cell lengths 9.8568, 9.8568, 9.8568 Å; angles 155.39, 155.39, 35.09 degrees
With the nearest neighbours (Å) after each atom.
Sites, in units of the cell vectors:
Ba: 0.1291 0.1291 0.0000  4 Pd 3.09
Ba: 0.8709 0.8709 0.0000  4 Pd 3.09
Pd: 0.2500 0.7500 0.5000  4 Pd 2.97, 4 Ba 3.09
Pd: 0.7500 0.2500 0.5000  4 Pd 2.97, 4 Ba 3.09
I: 0.5000 0.5000 0.0000  8 Ba 3.84, 4 I 4.20

## Properties
* energy relative to the elements, uncorrected: -0.75 eV per atom
* final energy: -3.9099 eV per atom

---

Here is an optimized crystal structure of K2CaZn3F12 from Alexandria. Energies are from GGA-PBE.

Cell lengths 7.1939, 7.1939, 7.1939 Å; angles 63.43, 63.43, 63.43 degrees
With the nearest neighbours (Å) after each atom.
Sites, in units of the cell vectors:
K: 0.1228 0.1228 0.1228  3 F 2.75
K: 0.8772 0.8772 0.8772  3 F 2.75
Ca: 0.5000 0.5000 0.5000  6 F 2.34
Zn: 0.0000 0.5000 0.5000  6 F 1.96-1.99
Zn: 0.5000 0.0000 0.5000  6 F 1.96-1.99
Zn: 0.5000 0.5000 0.0000  6 F 1.96-1.99
F: 0.1176 0.6126 0.6126  1 Zn 1.96
F: 0.2085 0.2085 0.5970  2 Zn 1.99
F: 0.2085 0.5970 0.2085  2 Zn 1.99
F: 0.3874 0.3874 0.8824  1 Zn 1.96
F: 0.3874 0.8824 0.3874  1 Zn 1.96
F: 0.4030 0.7915 0.7915  2 Zn 1.99
F: 0.5970 0.2085 0.2085  2 Zn 1.99
F: 0.6126 0.1176 0.6126  1 Zn 1.96
F: 0.6126 0.6126 0.1176  1 Zn 1.96
F: 0.7915 0.4030 0.7915  2 Zn 1.99
F: 0.7915 0.7915 0.4030  2 Zn 1.99
F: 0.8824 0.3874 0.3874  1 Zn 1.96

## Properties
* energy relative to the elements, uncorrected: -2.45 eV per atom
* final energy: -4.1393 eV per atom

---

Here is an optimized crystal structure of Er4SbTe2As from Alexandria. Energies are from GGA-PBE.

Cell lengths 7.3973, 4.2516, 7.4582 Å; angles 90.00, 109.22, 90.00 degrees
With the nearest neighbours (Å) after each atom.
Sites, in units of the cell vectors:
Er: 0.2284 0.0000 0.2218  2 As 2.88, 1 Sb 2.99, 3 Te 3.08-3.18
Er: 0.2430 0.5000 0.7703  1 As 2.86, 2 Sb 2.99, 3 Te 3.07-3.19
Er: 0.7570 0.5000 0.2297  1 As 2.86, 2 Sb 2.99, 3 Te 3.07-3.19
Er: 0.7716 0.0000 0.7782  2 As 2.88, 1 Sb 2.99, 3 Te 3.08-3.18
Sb: 0.5000 0.0000 0.0000  6 Er 2.99
Te: 0.0000 0.0000 0.5000  6 Er 3.07-3.08
Te: 0.5000 0.5000 0.5000  6 Er 3.18-3.19
As: 0.0000 0.5000 0.0000  6 Er 2.86-2.88

## Properties
* energy relative to the elements, uncorrected: -1.32 eV per atom
* final energy: -5.4792 eV per atom

---

Here is an optimized crystal structure of Hf6Zr8Pa from Alexandria. Energies are from GGA-PBE.

Cell lengths 8.2019, 8.2019, 6.1256 Å; angles 90.00, 90.00, 120.00 degrees
With the nearest neighbours (Å) after each atom.
Sites, in units of the cell vectors:
Hf: 0.0692 0.6680 0.3743  1 Hf 2.85, 3 Zr 2.87-3.15, 1 Pa 3.14
Hf: 0.3320 0.4012 0.3743  1 Hf 2.85, 3 Zr 2.87-3.15, 1 Pa 3.14
Hf: 0.4012 0.0692 0.6257  1 Hf 2.85, 3 Zr 2.87-3.15, 1 Pa 3.14
Hf: 0.5988 0.9308 0.3743  1 Hf 2.85, 3 Zr 2.87-3.15, 1 Pa 3.14
Hf: 0.6680 0.5988 0.6257  1 Hf 2.85, 3 Zr 2.87-3.15, 1 Pa 3.14
Hf: 0.9308 0.3320 0.6257  1 Hf 2.85, 3 Zr 2.87-3.15, 1 Pa 3.14
Zr: 0.0072 0.7029 0.8655  3 Zr 2.84-2.97, 3 Hf 2.87-3.15
Zr: 0.2971 0.3042 0.8655  3 Zr 2.84-2.97, 3 Hf 2.87-3.15
Zr: 0.3042 0.0072 0.1345  3 Zr 2.84-2.97, 3 Hf 2.87-3.15
Zr: 0.3333 0.6667 0.8801  3 Zr 2.84
Zr: 0.6667 0.3333 0.1199  3 Zr 2.84
Zr: 0.6958 0.9928 0.8655  3 Zr 2.84-2.97, 3 Hf 2.87-3.15
Zr: 0.7029 0.6958 0.1345  3 Zr 2.84-2.97, 3 Hf 2.87-3.15
Zr: 0.9928 0.2971 0.1345  3 Zr 2.84-2.97, 3 Hf 2.87-3.15
Pa: 0.0000 0.0000 0.5000  6 Hf 3.14, 6 Zr 3.33

## Properties
* final energy: -8.9455 eV per atom

---

Here is an optimized crystal structure of CaCeTm2 from Alexandria. Energies are from GGA-PBE.

Cell lengths 5.0875, 5.0875, 5.0147 Å; angles 90.00, 90.00, 90.00 degrees
With the nearest neighbours (Å) after each atom.
Sites, in units of the cell vectors:
Ca: 0.0000 0.0000 0.0000  8 Tm 3.57, 4 Ce 3.60
Ce: 0.5000 0.5000 0.0000  8 Tm 3.57, 4 Ca 3.60
Tm: 0.0000 0.5000 0.5000  4 Ce 3.57, 4 Ca 3.57, 4 Tm 3.60
Tm: 0.5000 0.0000 0.5000  4 Ce 3.57, 4 Ca 3.57, 4 Tm 3.60

## Properties
* final energy: -4.0095 eV per atom